Entry 1:
First-principles (GGA-PBE) data for a relaxed MgCu2BRu crystal, as listed in the Alexandria database.

Output
Total magnetic moment (μB per formula unit): 0.00
Fermi-level density of states (states/eV per atom): 0.526
Volume (Å³/f.u.): 65.1
Space-group type: P4/mmm (123)
Energy (eV/atom): -5.1976

Unit cell a=4.005 b=4.005 c=4.057 alpha=90.00 beta=90.00 gamma=90.00
Sites, in units of the cell vectors:
Mg (0.000, 0.000, 0.000)
Cu (0.000, 0.500, 0.500)
Cu (0.500, 0.000, 0.500)
B (0.500, 0.500, 0.500)
Ru (0.500, 0.500, 0.000)

***

Entry 2:
First-principles (GGA-PBE) data for a relaxed Mg2TlCuB crystal, as listed in the Alexandria database.

Output
Total magnetic moment (μB per formula unit): 0.00
Fermi-level density of states (states/eV per atom): 0.390
Volume (Å³/f.u.): 98.0
Space-group type: P4/mmm (123)
Energy (eV/atom): -2.8806

Unit cell a=5.025 b=5.025 c=3.880 alpha=90.00 beta=90.00 gamma=90.00
Sites, in units of the cell vectors:
Mg (0.000, 0.500, 0.000)
Mg (0.500, 0.000, 0.000)
Tl (0.000, 0.000, 0.500)
Cu (0.500, 0.500, 0.000)
B (0.500, 0.500, 0.500)

***

Entry 3:
First-principles (GGA-PBE) data for a relaxed MnCu2B crystal, as listed in the Alexandria database.

Output
Total magnetic moment (μB per formula unit): 2.53
Fermi-level density of states (states/eV per atom): 0.552
Volume (Å³/f.u.): 45.2
Space-group type: I-42d (122)
Energy (eV/atom): -5.4927

Unit cell a=8.971 b=8.971 c=8.971 alpha=159.27 beta=159.27 gamma=29.47
Sites, in units of the cell vectors:
Mn (0.000, 0.000, 0.000)
Mn (0.750, 0.250, 0.500)
Cu (0.134, 0.625, 0.009)
Cu (0.375, 0.384, 0.509)
Cu (0.616, 0.125, 0.991)
Cu (0.875, 0.866, 0.491)
B (0.250, 0.750, 0.500)
B (0.500, 0.500, 0.000)

***

Entry 4:
First-principles (GGA-PBE) data for a relaxed MnCuB2 crystal, as listed in the Alexandria database.

Output
Energy above the most stable polymorph in this dataset (eV/atom): 0.194
Total magnetic moment (μB per formula unit): 0.00
Fermi-level density of states (states/eV per atom): 0.078
Volume (Å³/f.u.): 37.1
Space-group type: I-42d (122)
Energy (eV/atom): -6.0293

Unit cell a=4.592 b=4.592 c=4.592 alpha=107.07 beta=107.07 gamma=114.38
Sites, in units of the cell vectors:
Mn (0.000, 0.000, 0.000)
Mn (0.750, 0.250, 0.500)
Cu (0.250, 0.750, 0.500)
Cu (0.500, 0.500, 0.000)
B (0.123, 0.625, 0.998)
B (0.375, 0.373, 0.498)
B (0.627, 0.125, 0.002)
B (0.875, 0.877, 0.502)

***

Entry 5:
First-principles (GGA-PBE) data for a relaxed Mn2Cu2B crystal, as listed in the Alexandria database.

Output
Energy above the most stable polymorph in this dataset (eV/atom): 0.486
Total magnetic moment (μB per formula unit): 0.00
Fermi-level density of states (states/eV per atom): 1.023
Volume (Å³/f.u.): 59.2
Space-group type: I4/mmm (139)
Energy (eV/atom): -5.7122

Unit cell a=6.886 b=6.886 c=6.886 alpha=154.79 beta=154.79 gamma=35.95
Sites, in units of the cell vectors:
Mn (0.250, 0.750, 0.500)
Mn (0.750, 0.250, 0.500)
Cu (0.089, 0.089, 0.000)
Cu (0.911, 0.911, 0.000)
B (0.500, 0.500, 0.000)

***

Entry 6:
First-principles (GGA-PBE) data for a relaxed Mn2Cu2B crystal, as listed in the Alexandria database.

Output
Energy above the most stable polymorph in this dataset (eV/atom): 0.000
Total magnetic moment (μB per formula unit): 6.65
Fermi-level density of states (states/eV per atom): 0.460
Volume (Å³/f.u.): 60.3
Space-group type: P4/mbm (127)
Energy (eV/atom): -6.1982

Unit cell a=5.442 b=5.442 c=4.070 alpha=90.00 beta=90.00 gamma=90.00
Sites, in units of the cell vectors:
Mn (0.169, 0.331, 0.000)
Mn (0.331, 0.831, 0.000)
Mn (0.669, 0.169, 0.000)
Mn (0.831, 0.669, 0.000)
Cu (0.155, 0.655, 0.500)
Cu (0.345, 0.155, 0.500)
Cu (0.655, 0.845, 0.500)
Cu (0.845, 0.345, 0.500)
B (0.000, 0.000, 0.500)
B (0.500, 0.500, 0.500)

***

Entry 7:
First-principles (GGA-PBE) data for a relaxed MnCuB3 crystal, as listed in the Alexandria database.

Output
Energy above the most stable polymorph in this dataset (eV/atom): 0.788
Total magnetic moment (μB per formula unit): 0.00
Fermi-level density of states (states/eV per atom): 1.631
Volume (Å³/f.u.): 50.9
Space-group type: Pm-3m (221)
Energy (eV/atom): -4.8992

Unit cell a=3.705 b=3.705 c=3.705 alpha=90.00 beta=90.00 gamma=90.00
Sites, in units of the cell vectors:
Mn (0.000, 0.000, 0.000)
Cu (0.500, 0.500, 0.500)
B (0.000, 0.500, 0.500)
B (0.500, 0.000, 0.500)
B (0.500, 0.500, 0.000)

***

Entry 8:
First-principles (GGA-PBE) data for a relaxed MnCuB2 crystal, as listed in the Alexandria database.

Output
Energy above the most stable polymorph in this dataset (eV/atom): 0.000
Total magnetic moment (μB per formula unit): 0.39
Fermi-level density of states (states/eV per atom): 0.447
Volume (Å³/f.u.): 33.3
Space-group type: Fm-3m (225)
Energy (eV/atom): -6.2236

Unit cell a=3.612 b=3.612 c=3.612 alpha=60.00 beta=60.00 gamma=60.00
Sites, in units of the cell vectors:
Mn (0.000, 0.000, 0.000)
Cu (0.500, 0.500, 0.500)
B (0.250, 0.250, 0.250)
B (0.750, 0.750, 0.750)

***

Entry 9:
First-principles (GGA-PBE) data for a relaxed MnCuB3 crystal, as listed in the Alexandria database.

Output
Energy above the most stable polymorph in this dataset (eV/atom): 0.000
Total magnetic moment (μB per formula unit): 0.00
Fermi-level density of states (states/eV per atom): 0.470
Volume (Å³/f.u.): 53.4
Space-group type: Pm-3m (221)
Energy (eV/atom): -5.6875

Unit cell a=3.765 b=3.765 c=3.765 alpha=90.00 beta=90.00 gamma=90.00
Sites, in units of the cell vectors:
Mn (0.000, 0.000, 0.000)
Cu (0.500, 0.500, 0.500)
B (0.000, 0.000, 0.500)
B (0.000, 0.500, 0.000)
B (0.500, 0.000, 0.000)

***

Entry 10:
First-principles (GGA-PBE) data for a relaxed MnCuB2P crystal, as listed in the Alexandria database.

Output
Total magnetic moment (μB per formula unit): 0.08
Fermi-level density of states (states/eV per atom): 0.943
Volume (Å³/f.u.): 62.0
Space-group type: P4/mmm (123)
Energy (eV/atom): -4.8491

Unit cell a=3.789 b=3.789 c=4.318 alpha=90.00 beta=90.00 gamma=90.00
Sites, in units of the cell vectors:
Mn (0.000, 0.000, 0.000)
Cu (0.500, 0.500, 0.000)
B (0.000, 0.500, 0.500)
B (0.500, 0.000, 0.500)
P (0.500, 0.500, 0.500)

***

Entry 11:
First-principles (GGA-PBE) data for a relaxed Mn2CuB2Rh5 crystal, as listed in the Alexandria database.

Output
Total magnetic moment (μB per formula unit): 9.09
Fermi-level density of states (states/eV per atom): 0.738
Volume (Å³/f.u.): 126.4
Space-group type: P4/mbm (127)
Energy (eV/atom): -7.5228

Unit cell a=9.297 b=9.297 c=2.924 alpha=90.00 beta=90.00 gamma=90.00
Sites, in units of the cell vectors:
Mn (0.178, 0.322, 0.000)
Mn (0.322, 0.822, 0.000)
Mn (0.678, 0.178, 0.000)
Mn (0.822, 0.678, 0.000)
Cu (0.000, 0.000, 0.000)
Cu (0.500, 0.500, 0.000)
B (0.129, 0.629, 0.000)
B (0.371, 0.129, 0.000)
B (0.629, 0.871, 0.000)
B (0.871, 0.371, 0.000)
Rh (0.000, 0.500, 0.500)
Rh (0.070, 0.785, 0.500)
Rh (0.215, 0.070, 0.500)
Rh (0.285, 0.570, 0.500)
Rh (0.430, 0.285, 0.500)
Rh (0.500, 0.000, 0.500)
Rh (0.570, 0.715, 0.500)
Rh (0.715, 0.430, 0.500)
Rh (0.785, 0.930, 0.500)
Rh (0.930, 0.215, 0.500)

***

Entry 12:
First-principles (GGA-PBE) data for a relaxed Mn2CuBS crystal, as listed in the Alexandria database.

Output
ΔE_f (raw) (eV per atom): 0.55
Total magnetic moment (μB per formula unit): 6.27
Fermi-level density of states (states/eV per atom): 0.509
Volume (Å³/f.u.): 67.4
Space-group type: P4/mmm (123)
Energy (eV/atom): -6.0999

Unit cell a=4.064 b=4.064 c=4.082 alpha=90.00 beta=90.00 gamma=90.00
Sites, in units of the cell vectors:
Mn (0.000, 0.500, 0.000)
Mn (0.500, 0.000, 0.000)
Cu (0.000, 0.000, 0.500)
B (0.500, 0.500, 0.000)
S (0.500, 0.500, 0.500)

***

Entry 13:
First-principles (GGA-PBE) data for a relaxed MnCuB2Sb crystal, as listed in the Alexandria database.

Output
ΔE_f (raw) (eV per atom): 1.99
Total magnetic moment (μB per formula unit): 3.73
Fermi-level density of states (states/eV per atom): 0.518
Volume (Å³/f.u.): 100.0
Space-group type: P4/mmm (123)
Energy (eV/atom): -4.1623

Unit cell a=4.435 b=4.435 c=5.085 alpha=90.00 beta=90.00 gamma=90.00
Sites, in units of the cell vectors:
Mn (0.000, 0.000, 0.000)
Cu (0.500, 0.500, 0.000)
B (0.000, 0.500, 0.500)
B (0.500, 0.000, 0.500)
Sb (0.000, 0.000, 0.500)

***

Entry 14:
First-principles (GGA-PBE) data for a relaxed MnCuTcB2 crystal, as listed in the Alexandria database.

Output
Total magnetic moment (μB per formula unit): 0.00
Fermi-level density of states (states/eV per atom): 0.804
Volume (Å³/f.u.): 63.7
Space-group type: P4/mmm (123)
Energy (eV/atom): -6.2173

Unit cell a=3.821 b=3.821 c=4.362 alpha=90.00 beta=90.00 gamma=90.00
Sites, in units of the cell vectors:
Mn (0.000, 0.000, 0.000)
Cu (0.500, 0.500, 0.500)
Tc (0.000, 0.000, 0.500)
B (0.000, 0.500, 0.000)
B (0.500, 0.000, 0.000)

***

Entry 15:
First-principles (GGA-PBE) data for a relaxed MnV2CuB crystal, as listed in the Alexandria database.

Output
Total magnetic moment (μB per formula unit): 0.01
Fermi-level density of states (states/eV per atom): 1.096
Volume (Å³/f.u.): 68.6
Space-group type: P4/mmm (123)
Energy (eV/atom): -6.3023

Unit cell a=4.395 b=4.395 c=3.552 alpha=90.00 beta=90.00 gamma=90.00
Sites, in units of the cell vectors:
Mn (0.000, 0.000, 0.000)
V (0.000, 0.500, 0.500)
V (0.500, 0.000, 0.500)
Cu (0.500, 0.500, 0.500)
B (0.500, 0.500, 0.000)

***

Entry 16:
First-principles (GGA-PBE) data for a relaxed Cu2BMo crystal, as listed in the Alexandria database.

Output
Total magnetic moment (μB per formula unit): 0.00
Fermi-level density of states (states/eV per atom): 0.603
Volume (Å³/f.u.): 48.9
Space-group type: I-42d (122)
Energy (eV/atom): -6.0057

Unit cell a=9.591 b=9.591 c=9.591 alpha=160.55 beta=160.55 gamma=27.64
Sites, in units of the cell vectors:
Cu (0.117, 0.625, 0.992)
Cu (0.375, 0.367, 0.492)
Cu (0.633, 0.125, 0.008)
Cu (0.875, 0.883, 0.508)
B (0.000, 0.000, 0.000)
B (0.750, 0.250, 0.500)
Mo (0.250, 0.750, 0.500)
Mo (0.500, 0.500, 0.000)

***

Entry 17:
First-principles (GGA-PBE) data for a relaxed CuB3Mo crystal, as listed in the Alexandria database.

Output
Energy above the most stable polymorph in this dataset (eV/atom): 0.084
Total magnetic moment (μB per formula unit): 1.22
Fermi-level density of states (states/eV per atom): 0.807
Volume (Å³/f.u.): 53.1
Space-group type: Pm-3m (221)
Energy (eV/atom): -5.4385

Unit cell a=3.759 b=3.759 c=3.759 alpha=90.00 beta=90.00 gamma=90.00
Sites, in units of the cell vectors:
Cu (0.000, 0.000, 0.000)
B (0.000, 0.000, 0.500)
B (0.000, 0.500, 0.000)
B (0.500, 0.000, 0.000)
Mo (0.500, 0.500, 0.500)

***

Entry 18:
First-principles (GGA-PBE) data for a relaxed CuBMo crystal, as listed in the Alexandria database.

Output
Total magnetic moment (μB per formula unit): 0.00
Fermi-level density of states (states/eV per atom): 0.693
Volume (Å³/f.u.): 36.5
Space-group type: R-3m (166)
Energy (eV/atom): -7.0249

Unit cell a=6.573 b=6.573 c=6.573 alpha=32.51 beta=32.51 gamma=32.51
Sites, in units of the cell vectors:
Cu (0.135, 0.135, 0.135)
Cu (0.865, 0.865, 0.865)
B (0.252, 0.252, 0.252)
B (0.748, 0.748, 0.748)
Mo (0.379, 0.379, 0.379)
Mo (0.621, 0.621, 0.621)

***

Entry 19:
First-principles (GGA-PBE) data for a relaxed CuB3Mo crystal, as listed in the Alexandria database.

Output
Energy above the most stable polymorph in this dataset (eV/atom): 0.000
Total magnetic moment (μB per formula unit): 0.00
Fermi-level density of states (states/eV per atom): 0.486
Volume (Å³/f.u.): 69.7
Space-group type: Pm-3m (221)
Energy (eV/atom): -5.5229

Unit cell a=4.116 b=4.116 c=4.116 alpha=90.00 beta=90.00 gamma=90.00
Sites, in units of the cell vectors:
Cu (0.000, 0.000, 0.000)
B (0.000, 0.500, 0.500)
B (0.500, 0.000, 0.500)
B (0.500, 0.500, 0.000)
Mo (0.500, 0.500, 0.500)

***

Entry 20:
First-principles (GGA-PBE) data for a relaxed CuBMo2 crystal, as listed in the Alexandria database.

Output
Total magnetic moment (μB per formula unit): 0.00
Fermi-level density of states (states/eV per atom): 0.714
Volume (Å³/f.u.): 56.4
Space-group type: I-42d (122)
Energy (eV/atom): -7.1682

Unit cell a=8.947 b=8.947 c=8.947 alpha=156.61 beta=156.61 gamma=33.32
Sites, in units of the cell vectors:
Cu (0.000, 0.000, 0.000)
Cu (0.750, 0.250, 0.500)
B (0.250, 0.750, 0.500)
B (0.500, 0.500, 0.000)
Mo (0.145, 0.625, 0.020)
Mo (0.375, 0.395, 0.520)
Mo (0.605, 0.125, 0.980)
Mo (0.875, 0.855, 0.480)